DFT (PBE-GGA) results for crystalline CeZrNiRu at its relaxed geometry.

Values from the calculation:
D(E_F) ... 7.50 states/eV/f.u.
Formation enthalpy at 0 K ... -284 meV per atom

Structure (CIF):
```
data_CeZrNiRu
_chemical_formula_sum 'Ce4 Zr4 Ni4 Ru4'
_space_group_name_H-M_alt 'F -4 3 m'
_space_group_IT_number 216
_space_group_name_Hall 'F -4 2 3'
_cell_length_a 6.684
_cell_length_b 6.684
_cell_length_c 6.684
_cell_angle_alpha 90.00
_cell_angle_beta 90.00
_cell_angle_gamma 90.00
loop_
_atom_site_label
_atom_site_type_symbol
_atom_site_fract_x
_atom_site_fract_y
_atom_site_fract_z
_atom_site_occupancy
Ce1 Ce 0.000 0.000 0.000 1
Zr1 Zr 0.000 0.000 0.500 1
Ni1 Ni 0.250 0.250 0.750 1
Ru1 Ru 0.250 0.250 0.250 1
```